(1)
Below is crystalline ZrFeTe2 at its relaxed geometry, with properties calculated at the PBE level.

Output
Uncorrected formation energy: -0.262 eV/atom
DOS(E_F): 3.41 states/eV/cell

Cell: 6.975 6.975 6.975 Å, 149.18 148.12 44.93°
Last column: magnetic moment on the atom in μB.
Atoms (fractional coordinates):
1 Fe 0.226 0.726 0.500  2.82
2 Zr 0.447 0.447 0.000  -0.07
3 Te 0.046 0.046 0.000  0.04
4 Te 0.781 0.281 0.500  0.06

---

(2)
Below is crystalline Na2SrTl4Pb at its relaxed geometry, with properties calculated at the PBE level.

Output
ΔH_f (0 K): -151 meV/atom
DOS(E_F): 7.80 states/eV/cell

Cell: 4.997 9.751 10.749 Å, 90.00 90.00 104.85°
Atoms (fractional coordinates):
1 Pb 0.908 0.816 0.750
2 Pb 0.092 0.184 0.250
3 Tl 0.000 0.000 0.000
4 Tl 0.474 0.948 0.250
5 Tl 0.763 0.526 0.593
6 Tl 0.237 0.474 0.093
7 Tl 0.763 0.526 0.907
8 Tl 0.237 0.474 0.407
9 Tl 0.526 0.052 0.750
10 Tl 0.000 0.000 0.500
11 Na 0.612 0.225 0.046
12 Na 0.388 0.775 0.546
13 Na 0.612 0.225 0.454
14 Na 0.388 0.775 0.954
15 Sr 0.844 0.689 0.250
16 Sr 0.156 0.311 0.750

---

(3)
Below is crystalline HfTi2Re at its relaxed geometry, with properties calculated at the PBE level.

Output
Energy relative to the lowest polymorph listed for this composition: 0.244 eV/atom
ΔH_f (0 K): -11 meV/atom
DOS(E_F): 11.54 states/eV/cell

Cell: 3.137 4.693 9.923 Å, 90.00 99.09 90.00°
Atoms (fractional coordinates):
1 Ti 0.972 0.750 0.943
2 Ti 0.751 0.250 0.502
3 Ti 0.249 0.750 0.498
4 Ti 0.028 0.250 0.057
5 Re 0.150 0.250 0.299
6 Re 0.850 0.750 0.701
7 Hf 0.385 0.250 0.771
8 Hf 0.615 0.750 0.229

---

(4)
Below is crystalline La3Pr6HoEr2 at its relaxed geometry, with properties calculated at the PBE level.

Output
ΔH_f (0 K): 19 meV/atom
DOS(E_F): 18.14 states/eV/cell

Cell: 6.378 6.378 12.119 Å, 95.04 95.04 120.06°
Atoms (fractional coordinates):
1 Pr 0.919 0.585 0.757
2 Pr 0.415 0.081 0.243
3 Pr 0.585 0.919 0.757
4 Pr 0.081 0.415 0.243
5 Pr 0.252 0.252 0.757
6 Pr 0.748 0.748 0.243
7 La 0.833 0.167 0.500
8 La 0.167 0.833 0.500
9 La 0.500 0.500 0.500
10 Er 0.667 0.333 0.000
11 Er 0.333 0.667 0.000
12 Ho 0.000 0.000 0.000

---

no.,spin magnetization (μB per formula unit)
1,2.8
2,0.0
3,0.0
4,0.0